Al2VO5 GGA+U relaxed; final energy = -7.3682 eV per atom; symmetry = Pmmn (59); relative energy among the computed polymorphs = 0.2001 eV per atom; crystal system = orthorhombic
1.0
-1.100 -1.562 2.338
0.404 -3.994 -2.478
10.691 -1.437 4.061
O Al V
10 4 2
Direct
0.998 0.069 0.104
0.500 0.401 0.500
0.500 0.616 0.178
0.498 0.931 0.604
0.000 0.384 0.322
0.500 0.616 0.822
0.000 0.599 0.000
0.002 0.069 0.896
0.000 0.384 0.678
0.502 0.931 0.396
0.000 0.429 0.850
0.000 0.429 0.150
0.500 0.571 0.650
0.500 0.571 0.350
0.500 0.894 0.000
0.000 0.106 0.500